The following is a PBE calculation of a relaxed MnIn2Cl6 crystal, from Alexandria.

```
18
Lattice="8.5770 -5.8568 0.0000 8.5770 5.8568 0.0000 -1.8227 0.0000 6.3891" Properties=species:S:1:pos:R:3 pbc="T T T"
Mn 7.2100 5.8353 4.7918
Mn 8.1213 -5.8353 1.5973
In 5.8523 1.3371 4.4859
In 8.5677 1.3371 5.0977
In 6.7636 -1.3371 1.2914
In 9.4791 -1.3371 1.9032
Cl 6.5580 4.5835 2.8564
Cl 4.2324 2.9184 5.1141
Cl 9.6847 4.5835 0.3382
Cl 5.6082 0.8583 1.9963
Cl 10.1876 2.9184 4.4696
Cl 4.6968 -0.8583 5.1908
Cl 10.6345 0.8583 1.1983
Cl 5.1437 -2.9184 1.9195
Cl 9.7232 -0.8583 4.3928
Cl 5.6467 -4.5835 6.0509
Cl 11.0990 -2.9184 1.2750
Cl 8.7734 -4.5835 3.5328
```

E_form (uncorrected), eV/atom: -0.971
Spin magnetization, μB per atom: 0.556
Calculated volume, Å³/cell: 642
Density, Mg/m³: 2.6

The following is a PBE calculation of a relaxed CaIn2Tc crystal, from Alexandria.

```
4
Lattice="1.6825 0.9714 9.3985 -1.6825 0.9714 9.3985 0.0000 -1.9428 9.3985" Properties=species:S:1:pos:R:3 pbc="T T T"
Ca 0.0000 0.0000 0.0000
In 0.0000 0.0000 6.7381
In 0.0000 0.0000 21.4575
Tc 0.0000 0.0000 14.0978
```

Spin magnetization, μB per atom: 0.085
Calculated volume, Å³/cell: 92
Energy of formation, eV per atom: 0.227
Density, Mg/m³: 6.6

Question: The lowest density belongs to which entry?
Answer: MnIn2Cl6